Record 1
Below is La2CuRe at its PBEsol-relaxed geometry, with properties calculated at the meta-GGA SCAN level.

Computed properties:
DFT total energy	-170.7	eV for the cell shown
formation energy	442	meV per atom
ρ	9.077	g cm⁻³
volume	24.129	Å³ per atom

Geometry as POSCAR:
```
La2CuRe
1.0
3.300 0.000 0.000
-1.650 3.955 0.041
0.000 -1.332 7.383
La Cu Re
2 1 1
Direct
0.248 0.496 0.231
0.752 0.504 0.769
0.000 0.000 0.500
0.500 0.000 0.000
```



Record 2
Below is Sr2CrMoPt at its PBEsol-relaxed geometry, with properties calculated at the meta-GGA SCAN level.

Computed properties:
DFT total energy	-163.7	eV for the cell shown
formation energy	858	meV per atom
ρ	6.308	g cm⁻³
volume	27.285	Å³ per atom

Geometry as POSCAR:
```
Sr2CrMoPt
1.0
-0.612 -2.796 -3.192
4.470 -2.968 1.742
-3.345 -3.079 3.339
Sr Mo Pt Cr
2 1 1 1
Direct
0.000 0.500 0.000
0.000 0.000 0.500
0.500 0.000 0.000
0.500 0.500 0.500
0.000 0.000 0.000
```



Record 3
Below is Y2Cd at its PBEsol-relaxed geometry, with properties calculated at the meta-GGA SCAN level.

Computed properties:
DFT total energy	-173.5	eV for the cell shown
formation energy	-211	meV per atom
ρ	5.871	g cm⁻³
volume	27.362	Å³ per atom

Geometry as POSCAR:
```
Y2Cd
1.0
3.629 0.000 0.000
-1.815 6.454 0.079
0.000 -1.899 6.986
Y Cd
4 2
Direct
0.691 0.381 0.637
0.019 0.038 0.265
0.981 0.962 0.735
0.309 0.619 0.363
0.346 0.692 0.951
0.654 0.308 0.049
```



Record 4
Below is ZnMo2Se at its PBEsol-relaxed geometry, with properties calculated at the meta-GGA SCAN level.

Computed properties:
DFT total energy	-101.6	eV for the cell shown
ρ	9.028	g cm⁻³
volume	15.462	Å³ per atom

Geometry as POSCAR:
```
ZnMo2Se
1.0
-1.115 -2.156 1.453
1.895 -2.724 -2.588
4.361 0.328 2.848
Zn Mo Se
1 2 1
Direct
0.000 0.500 0.500
0.665 0.000 0.737
0.335 0.000 0.263
0.500 0.500 0.000
```



Record 5
Below is TaCoBr2 at its PBEsol-relaxed geometry, with properties calculated at the meta-GGA SCAN level.

Computed properties:
DFT total energy	-119.4	eV for the cell shown
ρ	10.539	g cm⁻³
volume	15.744	Å³ per atom

Geometry as POSCAR:
```
TaCoBr2
1.0
-0.959 -4.066 1.579
3.157 -2.400 2.053
-0.229 -0.688 4.407
Co Ta Br
1 1 2
Direct
0.500 0.500 0.500
0.000 0.000 0.000
0.250 0.250 0.250
0.750 0.750 0.750
```



Record 6
Below is Ca2HfO4 at its PBEsol-relaxed geometry, with properties calculated at the meta-GGA SCAN level.

Computed properties:
DFT total energy	-526.8	eV for the cell shown
ρ	5.652	g cm⁻³
volume	13.541	Å³ per atom

Geometry as POSCAR:
```
Ca2HfO4
1.0
5.608 0.000 0.000
0.000 5.730 0.000
0.000 0.000 11.799
Ca O Hf
8 16 4
Direct
0.011 0.054 0.345
0.511 0.054 0.155
0.489 0.554 0.345
0.511 0.446 0.655
0.989 0.554 0.155
0.989 0.946 0.655
0.489 0.946 0.845
0.011 0.446 0.845
0.197 0.199 0.533
0.595 0.459 0.168
0.697 0.199 0.967
0.405 0.541 0.832
0.405 0.959 0.332
0.197 0.301 0.033
0.095 0.041 0.832
0.595 0.041 0.668
0.697 0.301 0.467
0.803 0.699 0.967
0.095 0.459 0.332
0.905 0.959 0.168
0.905 0.541 0.668
0.303 0.699 0.533
0.803 0.801 0.467
0.303 0.801 0.033
0.000 0.000 0.000
0.000 0.500 0.500
0.500 0.000 0.500
0.500 0.500 0.000
```



> DFT total energy of number 3 (Y2Cd)?

-173.5 eV for the cell shown